[1]
! YNiSn3 | Alexandria via LeMat-Bulk | PBEsol | relaxed; values from VASP
! Formation enthalpy at 0 K   1204 meV/atom
! Spin magnetization   0.20 μB per atom
! Uncorrected energy   -19.739 eV/cell
&SYSTEM
  ibrav = 0, nat = 5, ntyp = 3
/
ATOMIC_SPECIES
Y 88.91 Y.upf
Ni 58.69 Ni.upf
Sn 118.71 Sn.upf
CELL_PARAMETERS angstrom
5.6024 0.0000 0.0000
0.0000 5.6024 0.0000
0.0000 0.0000 5.6024
ATOMIC_POSITIONS angstrom
Y 0.0000 0.0000 0.0000
Ni 2.8012 2.8012 2.8012
Sn 0.0000 0.0000 2.8012
Sn 0.0000 2.8012 0.0000
Sn 2.8012 0.0000 0.0000

[2]
! ZrNiSn2 | Alexandria via LeMat-Bulk | PBEsol | relaxed; values from VASP
! Formation enthalpy at 0 K   -15 meV/atom
! Spin magnetization   0.00 μB per atom
! Uncorrected energy   -23.825 eV/cell
&SYSTEM
  ibrav = 0, nat = 4, ntyp = 3
/
ATOMIC_SPECIES
Zr 91.22 Zr.upf
Ni 58.69 Ni.upf
Sn 118.71 Sn.upf
CELL_PARAMETERS angstrom
0.0000 3.3672 3.3672
3.3672 0.0000 3.3672
3.3672 3.3672 0.0000
ATOMIC_POSITIONS angstrom
Zr 0.0000 0.0000 0.0000
Ni 3.3672 3.3672 3.3672
Sn 1.6836 1.6836 1.6836
Sn 5.0508 5.0508 5.0508

[3]
! ZrNi4Sn | Alexandria via LeMat-Bulk | PBEsol | relaxed; values from VASP
! Formation enthalpy at 0 K   -421 meV/atom
! Spin magnetization   0.00 μB per atom
! Uncorrected energy   -40.502 eV/cell
&SYSTEM
  ibrav = 0, nat = 6, ntyp = 3
/
ATOMIC_SPECIES
Zr 91.22 Zr.upf
Ni 58.69 Ni.upf
Sn 118.71 Sn.upf
CELL_PARAMETERS angstrom
0.0000 3.4156 3.4156
3.4156 0.0000 3.4156
3.4156 3.4156 0.0000
ATOMIC_POSITIONS angstrom
Zr 0.0000 0.0000 0.0000
Ni 2.5597 2.5597 2.5597
Ni 4.2715 4.2715 2.5597
Ni 4.2715 2.5597 4.2715
Ni 2.5597 4.2715 4.2715
Sn 5.1234 5.1234 5.1234

[4]
! Zr6NiSn2 | Alexandria via LeMat-Bulk | PBEsol | relaxed; values from VASP
! Formation enthalpy at 0 K   -479 meV/atom
! Spin magnetization   0.00 μB per atom
! Uncorrected energy   -73.529 eV/cell
&SYSTEM
  ibrav = 0, nat = 9, ntyp = 3
/
ATOMIC_SPECIES
Zr 91.22 Zr.upf
Ni 58.69 Ni.upf
Sn 118.71 Sn.upf
CELL_PARAMETERS angstrom
7.8529 0.0000 0.0000
-3.9265 6.8008 0.0000
0.0000 0.0000 3.5141
ATOMIC_POSITIONS angstrom
Zr -1.5628 2.7068 0.0000
Zr -2.9673 5.1395 1.7570
Zr 0.9592 1.6613 1.7570
Zr 3.1255 0.0000 0.0000
Zr 2.3637 4.0941 0.0000
Zr 5.9346 0.0000 1.7570
Ni 0.0000 0.0000 0.0000
Sn 0.0000 4.5339 1.7570
Sn 3.9265 2.2669 1.7570

[5]
! SrNi | Alexandria via LeMat-Bulk | PBEsol | relaxed; values from VASP
! Formation enthalpy at 0 K   -59 meV/atom
! Spin magnetization   0.00 μB per atom
! Uncorrected energy   -16.233 eV/cell
&SYSTEM
  ibrav = 0, nat = 4, ntyp = 2
/
ATOMIC_SPECIES
Sr 87.62 Sr.upf
Ni 58.69 Ni.upf
CELL_PARAMETERS angstrom
2.0138 1.1627 7.7733
-2.0138 1.1627 7.7733
0.0000 -2.3253 7.7733
ATOMIC_POSITIONS angstrom
Sr 0.0000 0.0000 1.9887
Sr 0.0000 0.0000 21.3313
Ni 0.0000 0.0000 7.7662
Ni 0.0000 0.0000 15.5538

[6]
! SrNi2 | Alexandria via LeMat-Bulk | PBEsol | relaxed; values from VASP
! Formation enthalpy at 0 K   272 meV/atom
! Spin magnetization   0.00 μB per atom
! Uncorrected energy   -13.340 eV/cell
&SYSTEM
  ibrav = 0, nat = 3, ntyp = 2
/
ATOMIC_SPECIES
Sr 87.62 Sr.upf
Ni 58.69 Ni.upf
CELL_PARAMETERS angstrom
-1.6258 1.6258 5.0274
1.6258 -1.6258 5.0274
1.6258 1.6258 -5.0274
ATOMIC_POSITIONS angstrom
Sr 0.0000 0.0000 0.0000
Ni 0.0000 0.0000 2.8149
Ni 0.0000 0.0000 7.2399

Q: Which value of spin magnetization does entry 5 give?
A: 0.00 μB per atom

Q: Which formula does entry 2 have?
A: ZrNiSn2

Q: Which value of formation enthalpy at 0 K does entry 5 give?
A: -59 meV/atom

Q: Among the records above, which one has the highest spin magnetization?
A: YNiSn3